First-principles (PBE) data for an optimized crystal structure of PrGd2H, as listed in the Alexandria database.

Output
energy: -9.25 eV/atom
crystal system: trigonal

Unit cell a=3.6626 b=3.6626 c=26.0462 alpha=90.00 beta=90.00 gamma=120.00
Closest atoms and distances in Å follow each position.
Positions (direct):
1 Pr 0.0000 0.0000 0.0000  6 Gd 3.63, 6 Pr 3.66
2 Pr 0.3333 0.6667 0.6667  6 Gd 3.63, 6 Pr 3.66
3 Pr 0.6667 0.3333 0.3333  6 Gd 3.63, 6 Pr 3.66
4 Gd 0.0000 0.0000 0.2201  3 H 2.53
5 Gd 0.0000 0.0000 0.7799  3 H 2.53
6 Gd 0.3333 0.6667 0.4465  3 H 2.53
7 Gd 0.3333 0.6667 0.8868  3 H 2.53
8 Gd 0.6667 0.3333 0.1132  3 H 2.53
9 Gd 0.6667 0.3333 0.5535  3 H 2.53
10 H 0.0000 0.0000 0.5000  6 Gd 2.53
11 H 0.3333 0.6667 0.1667  6 Gd 2.53
12 H 0.6667 0.3333 0.8333  6 Gd 2.53